PBE Cr2GaSe4, relaxed; V = 22.02 Å³/atom; crystal system = trigonal; formation energy without anion corrections = -0.53 eV/atom
1.0
7.581 0.000 0.000
-3.791 6.202 -2.158
0.000 -0.075 13.138
Se Cr Ga
16 8 4
direct
0.369 0.238 0.607 Se
0.631 0.762 0.393 Se
0.131 0.762 0.893 Se
0.857 0.214 0.619 Se
0.643 0.786 0.881 Se
0.643 0.238 0.881 Se
0.405 0.762 0.619 Se
0.143 0.786 0.381 Se
0.095 0.238 0.881 Se
0.905 0.762 0.119 Se
0.595 0.238 0.381 Se
0.869 0.238 0.107 Se
0.357 0.214 0.119 Se
0.857 0.762 0.619 Se
0.357 0.762 0.119 Se
0.143 0.238 0.381 Se
0.250 0.000 0.250 Cr
0.000 0.000 0.500 Cr
0.500 0.000 0.500 Cr
0.750 0.000 0.750 Cr
0.000 0.500 0.000 Cr
0.500 0.500 0.500 Cr
0.000 0.000 0.000 Cr
0.500 0.000 0.000 Cr
0.937 0.375 0.312 Ga
0.437 0.375 0.812 Ga
0.063 0.625 0.688 Ga
0.563 0.625 0.188 Ga